DFT (PBE-GGA) results for an optimized crystal structure of NaNiSn.

```
NaNiSn
1.0
-2.8448 -0.4455 -1.6713
-2.9687 -3.5529 -0.6420
-7.7441 4.8459 8.6989
Na Sn Ni
2 2 2
direct
0.0573 0.6421 0.8406 Na
0.3225 0.0092 0.5925 Na
0.8037 0.7680 0.0988 Sn
0.5753 0.8826 0.3345 Sn
0.8887 0.2256 0.0106 Ni
0.4904 0.4250 0.4228 Ni
```

Summary:
* calculated volume: 67.7 Å³/f.u.
* DOS(E_F): 2.3 states/eV per cell
* formation energy: 0.11 eV/f.u.

---

DFT (PBE-GGA) results for an optimized crystal structure of BaHg2P.

```
BaHg2P
1.0
6.1309 0.0002 0.0000
2.5163 5.5907 0.0000
-4.3236 -2.7955 3.3286
P Hg Ba
1 2 1
direct
0.2500 0.7500 0.5000 P
0.5000 0.5000 0.0000 Hg
0.0000 0.0000 0.0000 Hg
0.7500 0.2500 0.5000 Ba
```

Summary:
* calculated volume: 114.1 Å³/f.u.
* DOS(E_F): 2.1 states/eV per cell
* formation energy: -1.17 eV/f.u.

---

DFT (PBE-GGA) results for an optimized crystal structure of SrDyAs2O8.

```
SrDyAs2O8
1.0
5.1675 0.0000 0.0000
0.0000 5.1675 0.0000
-2.5837 -2.5837 5.8861
As Sr O Dy
2 1 8 1
direct
0.2500 0.7500 0.5000 As
0.5000 0.5000 0.0000 As
0.7500 0.2500 0.5000 Sr
0.5811 0.7096 0.6641 O
0.2904 0.9170 0.3359 O
0.0455 0.4189 0.3359 O
0.7216 0.8219 0.1450 O
0.1781 0.5766 0.8550 O
0.6768 0.2784 0.8550 O
0.0830 0.9545 0.6641 O
0.4234 0.3232 0.1450 O
0.0000 0.0000 0.0000 Dy
```

Summary:
* ΔE_f (raw): -2024 meV/atom
* calculated volume: 157.2 Å³/f.u.
* DOS(E_F): 7.0 states/eV per cell

---

DFT (PBE-GGA) results for an optimized crystal structure of CrPb.

```
CrPb
1.0
-1.4823 -2.8183 -7.1105
-1.5845 -6.9725 3.0939
-7.4827 2.0347 0.7534
Pb Cr
6 6
direct
0.0000 0.2500 0.5000 Pb
0.7500 0.5000 0.0000 Pb
0.5000 0.0000 0.2500 Pb
0.5000 0.0000 0.7500 Pb
0.0000 0.7500 0.5000 Pb
0.2500 0.5000 0.0000 Pb
0.7500 0.0000 0.5000 Cr
0.5000 0.7500 0.0000 Cr
0.0000 0.5000 0.2500 Cr
0.0000 0.5000 0.7500 Cr
0.5000 0.2500 0.0000 Cr
0.2500 0.0000 0.5000 Cr
```

Summary:
* calculated volume: 78.8 Å³/f.u.
* DOS(E_F): 13.6 states/eV per cell
* formation energy: 2.67 eV/f.u.

---

DFT (PBE-GGA) results for an optimized crystal structure of ReHN.

```
ReHN
1.0
2.8484 0.0003 0.0006
1.4015 4.2013 -0.0006
0.4584 0.5314 4.6719
N H Re
2 2 2
direct
0.5638 0.3381 0.5335 N
0.4362 0.6619 0.4665 N
0.0460 0.6942 0.9837 H
0.9540 0.3058 0.0163 H
0.8316 0.9520 0.2598 Re
0.1684 0.0480 0.7402 Re
```

Summary:
* calculated volume: 28.0 Å³/f.u.
* energy relative to the lowest polymorph listed for this composition: 101 meV/atom
* DOS(E_F): 1.4 states/eV per cell

---

DFT (PBE-GGA) results for an optimized crystal structure of Co2TcW.

```
Co2TcW
1.0
0.4677 -2.9879 -2.9328
1.7143 -3.7089 1.0262
-2.3932 -3.4649 0.1226
Co W Tc
2 1 1
direct
0.7500 0.7500 0.7500 Co
0.2500 0.2500 0.2500 Co
0.5000 0.5000 0.5000 W
0.0000 0.0000 0.0000 Tc
```

Summary:
* calculated volume: 52.9 Å³/f.u.
* energy relative to the lowest polymorph listed for this composition: 318 meV/atom
* DOS(E_F): 8.8 states/eV per cell
* formation energy: 1.16 eV/f.u.

---

DFT (PBE-GGA) results for an optimized crystal structure of ZrBi3Au.

```
ZrBi3Au
1.0
-4.5434 -1.8580 -2.7317
2.8621 0.1062 -4.8326
1.6500 -5.3003 0.8608
Zr Bi Au
1 3 1
direct
0.0000 0.0000 0.0000 Zr
0.0000 0.0000 0.5000 Bi
0.0000 0.5000 0.0000 Bi
0.5000 0.0000 0.0000 Bi
0.5000 0.5000 0.5000 Au
```

Summary:
* calculated volume: 177.3 Å³/f.u.
* DOS(E_F): 2.6 states/eV per cell
* formation energy: 2.35 eV/f.u.

---

DFT (PBE-GGA) results for an optimized crystal structure of LaPmSm6.

```
LaPmSm6
1.0
-3.0149 -1.6251 -3.8549
3.9587 0.4281 -3.2766
2.7065 -9.7552 1.9956
Pm Sm La
1 6 1
direct
0.0000 0.0000 0.5000 Pm
0.5000 0.5000 0.0000 Sm
0.0000 0.5000 0.7478 Sm
0.5000 0.5000 0.5000 Sm
0.5000 0.0000 0.7478 Sm
0.5000 0.0000 0.2522 Sm
0.0000 0.5000 0.2522 Sm
0.0000 0.0000 0.0000 La
```

Summary:
* calculated volume: 274.4 Å³/f.u.
* DOS(E_F): 13.6 states/eV per cell
* formation energy: 0.15 eV/f.u.

---

DFT (PBE-GGA) results for an optimized crystal structure of Rb2As2Pd.

```
Rb2As2Pd
1.0
-6.6102 -0.9781 0.4453
0.9942 -6.6191 0.2188
0.3553 0.2455 5.8136
As Rb Pd
4 4 2
direct
0.1367 0.3633 0.0000 As
0.3633 0.8633 0.0000 As
0.6367 0.1367 0.0000 As
0.8633 0.6367 0.0000 As
0.8254 0.3254 0.5000 Rb
0.6746 0.8254 0.5000 Rb
0.1746 0.6746 0.5000 Rb
0.3254 0.1746 0.5000 Rb
0.5000 0.5000 0.0000 Pd
0.0000 0.0000 0.0000 Pd
```

Summary:
* calculated volume: 130.7 Å³/f.u.
* DOS(E_F): 3.4 states/eV per cell
* formation energy: -1.47 eV/f.u.

---

DFT (PBE-GGA) results for an optimized crystal structure of SrZrSc.

```
SrZrSc
1.0
5.5719 0.0000 0.0000
-2.7860 4.8254 0.0000
0.0000 0.0000 3.1640
Zr Sc Sr
1 1 1
direct
0.3333 0.6667 0.6667 Zr
0.0000 0.0000 0.1662 Sc
0.6667 0.3333 0.1671 Sr
```

Summary:
* calculated volume: 85.1 Å³/f.u.
* energy relative to the lowest polymorph listed for this composition: 204 meV/atom
* DOS(E_F): 5.0 states/eV per cell
* formation energy: 1.43 eV/f.u.

---

DFT (PBE-GGA) results for an optimized crystal structure of Co3NiGe2.

```
Co3NiGe2
1.0
4.5396 0.0000 0.4025
2.2698 6.1160 0.2013
0.1079 0.0000 10.7852
Ge Co Ni
8 12 4
direct
0.7349 0.1783 0.9207 Ge
0.4843 0.5939 0.6773 Ge
0.5157 0.4061 0.3227 Ge
0.9218 0.5939 0.8227 Ge
0.9132 0.8217 0.4207 Ge
0.0868 0.1783 0.5793 Ge
0.0782 0.4061 0.1773 Ge
0.2651 0.8217 0.0793 Ge
0.6336 0.7328 0.2500 Co
0.4404 0.7047 0.4673 Co
0.3664 0.2672 0.7500 Co
0.9661 0.0678 0.2500 Co
0.4087 0.5751 0.8986 Co
0.1451 0.2953 0.9673 Co
0.5913 0.4249 0.1014 Co
0.8549 0.7047 0.0327 Co
0.5596 0.2953 0.5327 Co
0.0339 0.9322 0.7500 Co
0.0162 0.5751 0.6014 Co
0.9838 0.4249 0.3986 Co
0.4172 0.0672 0.3724 Ni
0.5828 0.9328 0.6276 Ni
0.4844 0.9328 0.8724 Ni
0.5156 0.0672 0.1276 Ni
```

Summary:
* calculated volume: 74.8 Å³/f.u.
* DOS(E_F): 33.6 states/eV per cell
* formation energy: -0.12 eV/f.u.

---

DFT (PBE-GGA) results for an optimized crystal structure of Pm8As6Cl.

```
Pm8As6Cl
1.0
4.3579 0.0000 0.0000
0.0000 9.7012 -5.6010
0.0000 0.0000 11.2019
Pm As Cl
8 6 1
direct
0.7467 0.3333 0.6667 Pm
0.2556 0.6312 0.9635 Pm
0.2556 0.0365 0.6677 Pm
0.7444 0.3688 0.0365 Pm
0.7444 0.9635 0.3323 Pm
0.7444 0.6677 0.6312 Pm
0.2556 0.3323 0.3688 Pm
0.2533 0.6667 0.3333 Pm
0.7547 0.8575 0.5242 As
0.2453 0.3334 0.8575 As
0.7547 0.4758 0.3334 As
0.2453 0.1425 0.4758 As
0.2453 0.5242 0.6666 As
0.7547 0.6666 0.1425 As
0.5000 0.0000 0.0000 Cl
```

Summary:
* ΔE_f (raw): -1208 meV/atom
* calculated volume: 473.6 Å³/f.u.
* DOS(E_F): 10.6 states/eV per cell

---

DFT (PBE-GGA) results for an optimized crystal structure of Hg2BiSbRh.

```
Hg2BiSbRh
1.0
5.2292 0.0000 0.0000
0.0000 5.2038 0.0000
0.0000 0.0000 5.2292
Hg Sb Rh Bi
2 1 1 1
direct
0.5000 0.0000 0.0000 Hg
0.0000 0.0000 0.5000 Hg
0.5000 0.5000 0.5000 Sb
0.0000 0.0000 0.0000 Rh
0.0000 0.5000 0.0000 Bi
```

Summary:
* ΔE_f (raw): 318 meV/atom
* calculated volume: 142.3 Å³/f.u.
* DOS(E_F): 4.4 states/eV per cell

---

DFT (PBE-GGA) results for an optimized crystal structure of Ni2PtRh.

```
Ni2PtRh
1.0
-3.2230 2.2441 2.2399
-3.7763 -2.4704 -0.2781
4.1747 -1.1732 1.2792
Pt Rh Ni
1 1 2
direct
0.2500 0.7500 0.5000 Pt
0.7500 0.2500 0.5000 Rh
0.5000 0.5000 0.0000 Ni
0.0000 0.0000 0.0000 Ni
```

Summary:
* calculated volume: 52.5 Å³/f.u.
* DOS(E_F): 7.5 states/eV per cell
* formation energy: -0.12 eV/f.u.

---

DFT (PBE-GGA) results for an optimized crystal structure of Tl2CoBr.

```
Tl2CoBr
1.0
7.7680 0.0069 0.0108
5.8990 5.0541 -0.0108
-6.5990 -3.1637 2.6050
Tl Co Br
2 1 1
direct
0.0786 0.0786 0.0000 Tl
0.4214 0.4214 0.0000 Tl
0.2500 0.7500 0.5000 Co
0.7500 0.2500 0.5000 Br
```

Summary:
* ΔE_f (raw): 287 meV/atom
* calculated volume: 102.1 Å³/f.u.
* energy relative to the lowest polymorph listed for this composition: 153 meV/atom
* DOS(E_F): 3.4 states/eV per cell

---

DFT (PBE-GGA) results for an optimized crystal structure of Ho5Al4Zn.

```
Ho5Al4Zn
1.0
3.5654 0.0000 0.0000
0.0000 3.5654 0.0000
0.0000 0.0000 17.9891
Ho Al Zn
5 4 1
direct
0.5000 0.5000 0.2994 Ho
0.5000 0.5000 0.5000 Ho
0.5000 0.5000 0.9030 Ho
0.5000 0.5000 0.0970 Ho
0.5000 0.5000 0.7006 Ho
0.0000 0.0000 0.6001 Al
0.0000 0.0000 0.3999 Al
0.0000 0.0000 0.1979 Al
0.0000 0.0000 0.8021 Al
0.0000 0.0000 0.0000 Zn
```

Summary:
* calculated volume: 228.7 Å³/f.u.
* DOS(E_F): 4.6 states/eV per cell
* formation energy: -3.91 eV/f.u.

---

DFT (PBE-GGA) results for an optimized crystal structure of PrNdNiAg.

```
PrNdNiAg
1.0
5.1674 0.0000 0.0000
2.5837 4.4751 0.0000
2.5837 1.4917 4.2192
Nd Pr Ag Ni
1 1 1 1
direct
0.0000 0.0000 0.0000 Nd
0.5000 0.5000 0.5000 Pr
0.2500 0.2500 0.2500 Ag
0.7500 0.7500 0.7500 Ni
```

Summary:
* calculated volume: 97.6 Å³/f.u.
* DOS(E_F): 3.4 states/eV per cell
* formation energy: -0.75 eV/f.u.

---

DFT (PBE-GGA) results for an optimized crystal structure of Pm2TlGa.

```
Pm2TlGa
1.0
-3.6553 0.5526 0.3854
-0.5407 -1.1379 -3.4969
-0.8439 -7.3389 2.5186
Ga Tl Pm
1 1 2
direct
0.5000 0.5000 0.0000 Ga
0.5000 0.5000 0.5000 Tl
0.0000 0.0000 0.2329 Pm
0.0000 0.0000 0.7671 Pm
```

Summary:
* calculated volume: 107.8 Å³/f.u.
* energy relative to the lowest polymorph listed for this composition: 0 meV/atom
* DOS(E_F): 2.0 states/eV per cell
* formation energy: -1.90 eV/f.u.

---

DFT (PBE-GGA) results for an optimized crystal structure of NaAlB.

```
NaAlB
1.0
11.8257 0.0000 -0.0638
0.0000 3.1061 0.0000
-0.8910 0.0000 5.2601
B Na Al
4 4 4
direct
0.2292 0.5000 0.5739 B
0.2296 0.0000 0.4065 B
0.2296 0.5000 0.9065 B
0.2292 0.0000 0.0739 B
0.4114 0.5000 0.3104 Na
0.6849 0.0000 0.5162 Na
0.4114 0.0000 0.8104 Na
0.6849 0.5000 0.0162 Na
0.1056 0.5000 0.1910 Al
0.1056 0.0000 0.6910 Al
0.9146 0.5000 0.4387 Al
0.9146 0.0000 0.9387 Al
```

Summary:
* calculated volume: 48.3 Å³/f.u.
* DOS(E_F): 2.7 states/eV per cell
* formation energy: 0.25 eV/f.u.

---

DFT (PBE-GGA) results for an optimized crystal structure of NaMnPd4.

```
NaMnPd4
1.0
5.2931 0.0000 0.0000
2.6465 4.5839 0.0000
2.6465 1.5280 4.3218
Pd Mn Na
4 1 1
direct
0.6253 0.1242 0.6253 Pd
0.6253 0.6253 0.1242 Pd
0.1242 0.6253 0.6253 Pd
0.6253 0.6253 0.6253 Pd
0.0000 0.0000 0.0000 Mn
0.2500 0.2500 0.2500 Na
```

Summary:
* calculated volume: 104.9 Å³/f.u.
* DOS(E_F): 5.7 states/eV per cell
* formation energy: -0.08 eV/f.u.

---

DFT (PBE-GGA) results for an optimized crystal structure of TaInTe2.

```
TaInTe2
1.0
-4.3665 -3.4771 0.5143
-1.7644 -5.1677 -1.2662
0.8286 -4.7060 5.6791
Ta Te In
1 2 1
direct
0.7415 0.7415 0.6243 Ta
0.2237 0.2237 0.3492 Te
0.0708 0.0708 0.8998 Te
0.4639 0.4639 0.6267 In
```

Summary:
* ΔE_f (raw): -10 meV/atom
* calculated volume: 129.4 Å³/f.u.
* DOS(E_F): 2.8 states/eV per cell

---

DFT (PBE-GGA) results for an optimized crystal structure of Y3Ge2Se.

```
Y3Ge2Se
1.0
0.6077 -1.3927 -3.7923
3.1530 -4.4475 2.1386
-7.0945 -0.5631 1.2705
Y Se Ge
3 1 2
direct
0.8323 0.3323 0.1645 Y
0.1677 0.6677 0.8355 Y
0.5000 0.0000 0.5000 Y
0.5000 0.5000 0.5000 Se
0.8363 0.8363 0.1726 Ge
0.1637 0.1637 0.8274 Ge
```

Summary:
* ΔE_f (raw): -1189 meV/atom
* calculated volume: 150.4 Å³/f.u.
* DOS(E_F): 3.1 states/eV per cell

---

DFT (PBE-GGA) results for an optimized crystal structure of CaAsIr.

```
CaAsIr
1.0
4.6898 -0.4021 -0.0155
-0.4813 4.7866 0.0039
-0.2584 2.3404 5.6422
As Ca Ir
2 2 2
direct
0.6163 0.7619 0.4983 As
0.3837 0.2381 0.5017 As
0.0023 0.6514 0.2000 Ca
0.9977 0.3486 0.8000 Ca
0.4998 0.1860 0.1305 Ir
0.5002 0.8140 0.8695 Ir
```

Summary:
* calculated volume: 62.8 Å³/f.u.
* DOS(E_F): 4.1 states/eV per cell
* formation energy: -1.18 eV/f.u.

---

DFT (PBE-GGA) results for an optimized crystal structure of Mg2TcAu2.

```
Mg2TcAu2
1.0
-0.1249 -3.5329 1.6624
0.6387 -1.6593 -3.4784
6.2976 -2.3442 0.0810
Mg Au Tc
2 2 1
direct
0.7500 0.2500 0.5000 Mg
0.2500 0.7500 0.5000 Mg
0.3944 0.3944 0.2111 Au
0.6056 0.6056 0.7889 Au
0.0000 0.0000 0.0000 Tc
```

Summary:
* calculated volume: 93.5 Å³/f.u.
* energy relative to the lowest polymorph listed for this composition: 371 meV/atom
* DOS(E_F): 6.0 states/eV per cell
* formation energy: 1.92 eV/f.u.

---

DFT (PBE-GGA) results for an optimized crystal structure of CuNi4H.

```
CuNi4H
1.0
4.1193 -0.0043 1.4790
-0.5338 4.6088 1.4925
-0.0219 1.3557 6.5415
Ni H Cu
8 2 2
direct
0.5195 0.2475 0.8049 Ni
0.8851 0.7510 0.3996 Ni
0.1149 0.2490 0.6004 Ni
0.7155 0.2510 0.3996 Ni
0.4805 0.7525 0.1951 Ni
0.6754 0.7475 0.8049 Ni
0.2845 0.7490 0.6004 Ni
0.3246 0.2525 0.1951 Ni
0.5000 0.5000 0.5000 H
0.0000 0.0000 0.5000 H
0.9169 0.2500 0.0000 Cu
0.0831 0.7500 0.0000 Cu
```

Summary:
* uncorrected energy: -5.074 eV per atom
* calculated volume: 57.5 Å³/f.u.
* DOS(E_F): 20.7 states/eV per cell